1.
# TaBeRh2, relaxed, DFT PBE
data_TaBeRh2
_chemical_formula_sum 'Ta4 Be4 Rh8'
_space_group_name_H-M_alt 'I -4 2 d'
_space_group_IT_number 122
_space_group_name_Hall 'I -4 2bw'
_cell_length_a 6.593
_cell_length_b 6.593
_cell_length_c 5.219
_cell_angle_alpha 90.00
_cell_angle_beta 90.00
_cell_angle_gamma 90.00
loop_
_atom_site_label
_atom_site_fract_x
_atom_site_fract_y
_atom_site_fract_z
Ta1 0.000 0.000 0.000
Be1 0.000 0.000 0.500
Rh1 0.181 0.250 0.625
# total DFT energy (no corrections) = -123.02 eV per cell
# V = 14.18 Å³/atom
# ΔE_f = -11 kJ per mole of atoms

2.
# TaBeRh2, relaxed, DFT PBE
data_TaBeRh2
_chemical_formula_sum 'Ta1 Be1 Rh2'
_space_group_name_H-M_alt 'P 4/m m m'
_space_group_IT_number 123
_space_group_name_Hall '-P 4 2'
_cell_length_a 2.888
_cell_length_b 2.888
_cell_length_c 6.456
_cell_angle_alpha 90.00
_cell_angle_beta 90.00
_cell_angle_gamma 90.00
loop_
_atom_site_label
_atom_site_fract_x
_atom_site_fract_y
_atom_site_fract_z
Ta1 0.000 0.000 0.000
Be1 0.000 0.000 0.500
Rh1 0.500 0.500 0.286
# total DFT energy (no corrections) = -32.60 eV per cell
# V = 13.46 Å³/atom
# ΔE_f = -56 kJ per mole of atoms

3.
# TaBe2Rh, relaxed, DFT PBE
data_TaBe2Rh
_chemical_formula_sum 'Ta2 Be4 Rh2'
_space_group_name_H-M_alt 'A m m 2'
_space_group_IT_number 38
_cell_length_a 3.672
_cell_length_b 2.883
_cell_length_c 9.040
_cell_angle_alpha 90.00
_cell_angle_beta 90.00
_cell_angle_gamma 90.00
loop_
_space_group_symop_operation_xyz
'x,y,z'
'-x,-y,z'
'-x,y,z'
'x,-y,z'
'x,y+1/2,z+1/2'
'-x,-y+1/2,z+1/2'
'-x,y+1/2,z+1/2'
'x,-y+1/2,z+1/2'
loop_
_atom_site_label
_atom_site_fract_x
_atom_site_fract_y
_atom_site_fract_z
Ta1 0.000 0.000 0.000
Be1 0.000 0.000 0.727
Be2 0.500 0.000 0.605
Rh1 0.500 0.000 0.316
# total DFT energy (no corrections) = -56.19 eV per cell
# V = 11.96 Å³/atom
# ΔE_f = -35 kJ per mole of atoms
# polymorph energy (0 for the lowest one) = 0.00 eV/f.u.

4.
# TaBe2Rh2, relaxed, DFT PBE
data_TaBe2Rh2
_chemical_formula_sum 'Ta2 Be4 Rh4'
_space_group_name_H-M_alt 'I 4/m m m'
_space_group_IT_number 139
_space_group_name_Hall '-I 4 2'
_cell_length_a 3.187
_cell_length_b 3.187
_cell_length_c 13.055
_cell_angle_alpha 90.00
_cell_angle_beta 90.00
_cell_angle_gamma 90.00
loop_
_atom_site_label
_atom_site_fract_x
_atom_site_fract_y
_atom_site_fract_z
Ta1 0.000 0.000 0.000
Be1 0.000 0.500 0.250
Rh1 0.000 0.000 0.387
# total DFT energy (no corrections) = -71.01 eV per cell
# V = 13.26 Å³/atom
# ΔE_f = -29 kJ per mole of atoms
# polymorph energy (0 for the lowest one) = 1.11 eV/f.u.